(1)
DFT (PBE) results for a relaxed Nd2AlZnAu6 crystal.

Values from the calculation:
E = -3.92 eV per atom
Calculated volume = 222.1 Å³/cell
ΔH_f (0 K) = -503 meV per atom
Space-group type = C2/m (12)

Cell lengths 6.835, 6.835, 8.919 Å; angles 129.39, 129.39, 47.76 degrees
Element x y z (fractional)
Nd1 0.243 0.243 0.220
Nd2 0.757 0.757 0.780
Al1 0.000 0.000 0.500
Zn1 0.500 0.500 0.000
Au1 0.225 0.724 0.229
Au2 0.251 0.251 0.603
Au3 0.276 0.775 0.771
Au4 0.724 0.225 0.229
Au5 0.749 0.749 0.397
Au6 0.775 0.276 0.771

=====

(2)
DFT (PBE) results for a relaxed YPd8Au2 crystal.

Values from the calculation:
ΔE to the lowest computed polymorph = 0.108 eV per atom
E = -5.19 eV per atom
Calculated volume = 192.8 Å³/cell
ΔH_f (0 K) = -234 meV per atom
Space-group type = C2/m (12)

Cell lengths 7.971, 7.971, 4.925 Å; angles 107.97, 107.97, 124.58 degrees
Element x y z (fractional)
Y1 0.000 0.000 0.000
Pd1 0.101 0.378 0.741
Pd2 0.194 0.806 0.000
Pd3 0.378 0.101 0.741
Pd4 0.497 0.497 0.746
Pd5 0.503 0.503 0.254
Pd6 0.622 0.899 0.259
Pd7 0.806 0.194 0.000
Pd8 0.899 0.622 0.259
Au1 0.319 0.681 0.500
Au2 0.681 0.319 0.500

=====

(3)
DFT (PBE) results for a relaxed Th2In8Co crystal.

Values from the calculation:
E = -4.25 eV per atom
Calculated volume = 271.6 Å³/cell
ΔH_f (0 K) = -260 meV per atom
Space-group type = P4/mmm (123)

Cell lengths 4.687, 4.687, 12.360 Å; angles 90.00, 90.00, 90.00 degrees
Element x y z (fractional)
Th1 0.000 0.000 0.196
Th2 0.000 0.000 0.804
In1 0.000 0.500 0.000
In2 0.000 0.500 0.384
In3 0.000 0.500 0.616
In4 0.500 0.000 0.000
In5 0.500 0.000 0.384
In6 0.500 0.000 0.616
In7 0.500 0.500 0.194
In8 0.500 0.500 0.806
Co1 0.000 0.000 0.500

=====

(4)
DFT (PBE) results for a relaxed NbCd2Tc crystal.

Values from the calculation:
ΔE to the lowest computed polymorph = 0.000 eV per atom
E = -5.00 eV per atom
Calculated volume = 72.5 Å³/cell
ΔH_f (0 K) = 570 meV per atom
Space-group type = Fm-3m (225)

Cell lengths 4.680, 4.680, 4.680 Å; angles 60.00, 60.00, 60.00 degrees
Element x y z (fractional)
Nb1 0.000 0.000 0.000
Cd1 0.250 0.250 0.250
Cd2 0.750 0.750 0.750
Tc1 0.500 0.500 0.500

=====

(5)
DFT (PBE) results for a relaxed SiB3 crystal.

Values from the calculation:
ΔE to the lowest computed polymorph = 0.453 eV per atom
E = -5.95 eV per atom
Calculated volume = 39.8 Å³/cell
Space-group type = Cm (8)
ΔE_f (raw) = 411 meV per atom

Cell lengths 3.396, 3.396, 4.955 Å; angles 117.23, 117.23, 54.24 degrees
Element x y z (fractional)
Si1 0.000 0.000 0.000
B1 0.592 0.592 0.741
B2 0.744 0.744 0.168
B3 0.962 0.962 0.550

=====

(6)
DFT (PBE) results for a relaxed LiPrZnAu2 crystal.

Values from the calculation:
E = -3.50 eV per atom
Calculated volume = 104.4 Å³/cell
ΔH_f (0 K) = -594 meV per atom
Space-group type = I-4m2 (119)

Cell lengths 7.077, 7.077, 7.077 Å; angles 147.06, 147.06, 47.28 degrees
Element x y z (fractional)
Li1 0.000 0.000 0.000
Pr1 0.250 0.750 0.500
Zn1 0.500 0.500 0.000
Au1 0.638 0.138 0.500
Au2 0.862 0.362 0.500

=====

Q: What is the E in the sixth record?
A: -3.50 eV per atom